Record 1
{"formula": "KAl3Rh", "functional": "PBE", "state": "relaxed", "total_magnetization_mub_per_fu": 0.0, "final_energy_ev_per_atom": -1.89, "dos_at_fermi_per_ev_atom": 1.44, "e_form_ev_per_fu": 10.22, "e_above_lowest_polymorph_ev_per_fu": 11.35, "lattice": [[5.2544, 0.0000, 0.0000], [0.0000, 5.2544, 0.0000], [0.0000, 0.0000, 5.2544]], "species": ["K", "Rh", "Al", "Al", "Al"], "frac_coords": [[0.0000, 0.0000, 0.0000], [0.5000, 0.5000, 0.5000], [0.0000, 0.5000, 0.0000], [0.0000, 0.0000, 0.5000], [0.5000, 0.0000, 0.0000]]}

Record 2
{"formula": "KAlRh2", "functional": "PBE", "state": "relaxed", "total_magnetization_mub_per_fu": 0.4, "final_energy_ev_per_atom": -4.54, "dos_at_fermi_per_ev_atom": 0.73, "e_form_ev_per_fu": 1.40, "lattice": [[-2.4410, -4.1897, 0.2407], [2.2838, -1.0926, 4.1426], [-6.1997, 1.1768, 6.5732]], "species": ["K", "K", "Rh", "Rh", "Rh", "Rh", "Al", "Al"], "frac_coords": [[0.0000, 0.0000, 0.0000], [0.7500, 0.2500, 0.5000], [0.4526, 0.1250, 0.2500], [0.2974, 0.6250, 0.2500], [0.3750, 0.5474, 0.7500], [0.8750, 0.7026, 0.7500], [0.5000, 0.5000, 0.0000], [0.2500, 0.7500, 0.5000]]}

What is the formula in the first record?
KAl3Rh